No. 1
## LiAl4Ga5 (PBE-GGA)

Data for a geometry-optimized LiAl4Ga5 structure.

Output
Total DFT energy (no corrections), eV per atom: -3.15
V, Å³/atom: 18.24
DOS(E_F), states/eV/atom: 0.395
Space-group type: I4

Cell lengths 6.463, 6.463, 6.463 Å; angles 99.38, 99.38, 132.38 degrees
Atoms (fractional coordinates):
Li 0.000 0.000 0.000
Al 0.096 0.822 0.401
Al 0.421 0.695 0.599
Al 0.695 0.096 0.274
Al 0.822 0.421 0.726
Ga 0.008 0.130 0.625
Ga 0.130 0.505 0.122
Ga 0.383 0.008 0.878
Ga 0.505 0.383 0.375
Ga 0.524 0.524 0.000

No. 2
## Li2AlGa5 (PBE-GGA)

Data for a geometry-optimized Li2AlGa5 structure.

Output
Total DFT energy (no corrections), eV per atom: -3.01
V, Å³/atom: 16.55
DOS(E_F), states/eV/atom: 0.450
Space-group type: Cm

Cell lengths 5.705, 5.705, 5.602 Å; angles 118.70, 118.70, 91.40 degrees
Atoms (fractional coordinates):
Li 0.250 0.750 0.000
Li 0.750 0.250 0.000
Al 0.250 0.250 0.500
Ga 0.250 0.250 0.001
Ga 0.250 0.750 0.500
Ga 0.750 0.250 0.500
Ga 0.750 0.750 0.000
Ga 0.750 0.750 0.500

No. 3
## LiAl2Ga4 (PBE-GGA)

Data for a geometry-optimized LiAl2Ga4 structure.

Output
Energy relative to the lowest polymorph listed for this composition, meV per atom: 0
V, Å³/atom: 18.76
DOS(E_F), states/eV/atom: 0.202
Space-group type: Imma

Cell lengths 7.300, 7.300, 7.300 Å; angles 132.23, 103.14, 95.77 degrees
Atoms (fractional coordinates):
Li 0.000 0.000 0.000
Li 0.500 0.000 0.500
Al 0.000 0.000 0.500
Al 0.000 0.500 0.000
Al 0.487 0.237 0.250
Al 0.513 0.763 0.750
Ga 0.125 0.643 0.481
Ga 0.270 0.287 0.517
Ga 0.270 0.753 0.983
Ga 0.338 0.357 0.981
Ga 0.662 0.643 0.019
Ga 0.730 0.247 0.017
Ga 0.730 0.713 0.483
Ga 0.875 0.357 0.519

No. 4
## LiAlGa2 (PBE-GGA)

Data for a geometry-optimized LiAlGa2 structure.

Output
Total DFT energy (no corrections), eV per atom: -2.89
V, Å³/atom: 19.99
DOS(E_F), states/eV/atom: 0.297
Space-group type: R3m

Cell lengths 6.763, 6.763, 6.763 Å; angles 32.62, 32.62, 32.62 degrees
Atoms (fractional coordinates):
Li 0.000 0.000 0.000
Al 0.833 0.833 0.833
Ga 0.421 0.421 0.421
Ga 0.579 0.579 0.579

What is the V in the fourth record? 19.99 Å³/atom

Which value of V does entry 1 give? 18.24 Å³/atom

Among the records above, which one has the lowest DOS(E_F)? LiAl2Ga4